Entry from the Alexandria database: a geometry-optimized ZrAl3 structure (PBEsol).

a b c (Å): 3.981 3.981 9.046
angles (deg): 102.70 102.70 90.01
Sites, in units of the cell vectors:
Al  0.625  0.625  0.250
Al  0.250  0.750  0.500
Zr  0.881  0.881  0.762
Zr  0.119  0.119  0.238
Al  0.500  0.000  0.000
Al  0.750  0.250  0.500
Al  0.000  0.500  0.000
Al  0.375  0.375  0.750

Properties
Size of the total moment = 0.0000 μB/atom
Formation enthalpy at 0 K = -0.498 eV/atom

Entry from the Alexandria database: a geometry-optimized ZrAl2 structure (PBEsol).

a b c (Å): 3.997 5.812 9.266
angles (deg): 90.00 90.00 90.00
Sites, in units of the cell vectors:
Al  0.250  0.153  0.234
Al  0.250  0.619  0.929
Al  0.750  0.881  0.429
Zr  0.250  0.617  0.606
Zr  0.250  0.117  0.894
Al  0.250  0.653  0.266
Al  0.250  0.119  0.571
Al  0.750  0.381  0.071
Al  0.750  0.847  0.766
Al  0.750  0.347  0.734
Zr  0.750  0.383  0.394
Zr  0.750  0.883  0.106

Properties
Size of the total moment = 0.0000 μB/atom
Formation enthalpy at 0 K = -0.474 eV/atom

Entry from the Alexandria database: a geometry-optimized Zr2Al structure (PBEsol).

a b c (Å): 5.306 5.477 5.477
angles (deg): 76.43 61.03 61.03
Sites, in units of the cell vectors:
Zr  0.151  0.198  0.500
Al  0.250  0.000  0.000
Zr  0.849  0.802  0.500
Zr  0.349  0.500  0.802
Al  0.750  0.000  0.000
Zr  0.651  0.500  0.198

Properties
Size of the total moment = 0.0000 μB/atom
Formation enthalpy at 0 K = -0.307 eV/atom

Entry from the Alexandria database: a geometry-optimized Zr8Al structure (PBEsol).

a b c (Å): 4.236 7.057 7.057
angles (deg): 84.83 72.54 72.54
Sites, in units of the cell vectors:
Zr  0.331  0.669  0.669
Zr  0.669  0.331  0.331
Zr  0.338  0.324  0.000
Al  0.000  0.000  0.000
Zr  0.662  0.676  0.000
Zr  0.000  0.331  0.669
Zr  0.000  0.669  0.331
Zr  0.338  0.000  0.324
Zr  0.662  0.000  0.676

Properties
Size of the total moment = 0.0000 μB/atom
Formation enthalpy at 0 K = -0.103 eV/atom

Entry from the Alexandria database: a geometry-optimized ZrAl5 structure (PBEsol).

a b c (Å): 2.989 5.469 6.793
angles (deg): 103.59 90.00 105.86
Sites, in units of the cell vectors:
Al  0.667  0.335  0.337
Al  0.385  0.771  0.283
Al  0.338  0.675  0.666
Al  0.997  0.993  0.001
Zr  0.720  0.440  0.944
Al  0.059  0.119  0.603

Properties
Size of the total moment = 0.0000 μB/atom
Formation enthalpy at 0 K = -0.164 eV/atom

Entry from the Alexandria database: a geometry-optimized ZrAl3 structure (PBEsol).

a b c (Å): 3.339 3.339 6.287
angles (deg): 90.00 90.00 90.00
Sites, in units of the cell vectors:
Zr  0.500  0.500  0.500
Al  0.000  0.000  0.776
Al  0.500  0.500  0.000
Al  0.000  0.000  0.224

Properties
Size of the total moment = 0.0000 μB/atom
Formation enthalpy at 0 K = -0.242 eV/atom

Entry from the Alexandria database: a geometry-optimized ZrAl2 structure (PBEsol).

a b c (Å): 3.162 4.398 4.398
angles (deg): 120.00 90.00 90.00
Sites, in units of the cell vectors:
Zr  0.500  0.000  0.000
Al  0.000  0.333  0.667
Al  0.000  0.667  0.333

Properties
Size of the total moment = 0.0000 μB/atom
Formation enthalpy at 0 K = -0.446 eV/atom

Entry from the Alexandria database: a geometry-optimized ZrAl3 structure (PBEsol).

a b c (Å): 4.070 4.070 4.070
angles (deg): 90.00 90.00 90.00
Sites, in units of the cell vectors:
Al  0.000  0.500  0.500
Al  0.500  0.000  0.500
Al  0.500  0.500  0.000
Zr  0.000  0.000  0.000

Properties
Size of the total moment = 0.0000 μB/atom
Formation enthalpy at 0 K = -0.474 eV/atom

Entry from the Alexandria database: a geometry-optimized ZrAl2 structure (PBEsol).

a b c (Å): 5.250 5.250 8.702
angles (deg): 90.00 90.00 120.00
Sites, in units of the cell vectors:
Zr  0.333  0.667  0.935
Al  0.171  0.342  0.250
Zr  0.667  0.333  0.435
Al  0.000  0.000  0.000
Al  0.342  0.171  0.750
Zr  0.667  0.333  0.065
Al  0.658  0.829  0.250
Al  0.000  0.000  0.500
Zr  0.333  0.667  0.565
Al  0.829  0.658  0.750
Al  0.171  0.829  0.250
Al  0.829  0.171  0.750

Properties
Size of the total moment = 0.0000 μB/atom
Formation enthalpy at 0 K = -0.542 eV/atom

Entry from the Alexandria database: a geometry-optimized ZrAl7 structure (PBEsol).

a b c (Å): 5.752 5.752 5.752
angles (deg): 60.00 60.00 60.00
Sites, in units of the cell vectors:
Al  0.500  0.000  0.500
Al  0.000  0.500  0.000
Al  0.500  0.000  0.000
Al  0.000  0.000  0.500
Zr  0.000  0.000  0.000
Al  0.000  0.500  0.500
Al  0.500  0.500  0.500
Al  0.500  0.500  0.000

Properties
Size of the total moment = 0.0000 μB/atom
Formation enthalpy at 0 K = -0.172 eV/atom

Entry from the Alexandria database: a geometry-optimized Zr2Al structure (PBEsol).

a b c (Å): 2.928 4.793 4.793
angles (deg): 120.00 90.00 90.00
Sites, in units of the cell vectors:
Zr  0.500  0.667  0.333
Zr  0.500  0.333  0.667
Al  0.000  0.000  0.000

Properties
Size of the total moment = 0.0000 μB/atom
Formation enthalpy at 0 K = -0.102 eV/atom

Entry from the Alexandria database: a geometry-optimized As structure (PBEsol).

a b c (Å): 3.790 3.790 4.007
angles (deg): 61.78 61.78 60.00
Sites, in units of the cell vectors:
As  0.769  0.769  0.692
As  0.231  0.231  0.308

Properties
Size of the total moment = 0.0000 μB/atom
Formation enthalpy at 0 K = 0.000 eV/atom
E above lowest polymorph = 0 meV/atom

Entry from the Alexandria database: a geometry-optimized As structure (PBEsol).

a b c (Å): 3.744 4.270 5.747
angles (deg): 90.00 109.01 90.00
Sites, in units of the cell vectors:
As  0.388  0.054  0.775
As  0.612  0.946  0.225
As  0.888  0.446  0.775
As  0.112  0.554  0.225

Properties
Size of the total moment = 0.0000 μB/atom
Formation enthalpy at 0 K = 0.045 eV/atom
E above lowest polymorph = 45 meV/atom

Entry from the Alexandria database: a geometry-optimized AsAu structure (PBEsol).

a b c (Å): 3.773 3.773 3.771
angles (deg): 59.98 59.98 60.00
Sites, in units of the cell vectors:
As  0.000  0.000  0.000
Au  0.500  0.500  0.500

Properties
Size of the total moment = 0.0001 μB/atom
Formation enthalpy at 0 K = 0.115 eV/atom

Entry from the Alexandria database: a geometry-optimized As3Au structure (PBEsol).

a b c (Å): 2.906 2.906 9.946
angles (deg): 90.00 90.00 119.90
Sites, in units of the cell vectors:
As  0.500  0.500  0.000
As  0.000  0.000  0.259
As  0.000  0.000  0.741
Au  0.500  0.500  0.500

Properties
Size of the total moment = 0.0000 μB/atom
Formation enthalpy at 0 K = 0.310 eV/atom
E above lowest polymorph = 0 meV/atom

Entry from the Alexandria database: a geometry-optimized As5Au4 structure (PBEsol).

a b c (Å): 3.560 6.972 6.972
angles (deg): 86.26 75.21 75.21
Sites, in units of the cell vectors:
Au  0.333  0.667  0.667
As  0.326  0.000  0.348
As  0.674  0.652  0.000
Au  0.667  0.333  0.333
As  0.000  0.000  0.000
As  0.674  0.000  0.652
Au  0.000  0.333  0.667
As  0.326  0.348  0.000
Au  0.000  0.667  0.333

Properties
Size of the total moment = 0.0000 μB/atom
Formation enthalpy at 0 K = 0.289 eV/atom

Entry from the Alexandria database: a geometry-optimized AsAu structure (PBEsol).

a b c (Å): 2.929 2.929 9.632
angles (deg): 90.00 90.00 120.00
Sites, in units of the cell vectors:
As  0.667  0.333  0.856
Au  0.333  0.667  0.623
Au  0.667  0.333  0.377
As  0.333  0.667  0.144

Properties
Size of the total moment = 0.0000 μB/atom
Formation enthalpy at 0 K = 0.209 eV/atom

Entry from the Alexandria database: a geometry-optimized As5Au structure (PBEsol).

a b c (Å): 5.158 5.158 5.218
angles (deg): 90.00 90.00 120.00
Sites, in units of the cell vectors:
As  0.333  0.667  0.000
As  0.667  0.333  0.000
Au  0.000  0.000  0.000
As  0.500  0.500  0.500
As  0.000  0.500  0.500
As  0.500  0.000  0.500

Properties
Size of the total moment = 0.0000 μB/atom
Formation enthalpy at 0 K = 0.524 eV/atom

Entry from the Alexandria database: a geometry-optimized AsAu7 structure (PBEsol).

a b c (Å): 5.794 5.794 5.794
angles (deg): 60.00 60.00 60.00
Sites, in units of the cell vectors:
Au  0.000  0.500  0.500
As  0.000  0.000  0.000
Au  0.500  0.000  0.500
Au  0.000  0.000  0.500
Au  0.500  0.000  0.000
Au  0.000  0.500  0.000
Au  0.500  0.500  0.500
Au  0.500  0.500  0.000

Properties
Size of the total moment = 0.0000 μB/atom
Formation enthalpy at 0 K = 0.082 eV/atom

Entry from the Alexandria database: a geometry-optimized AsAu2 structure (PBEsol).

a b c (Å): 3.847 3.847 8.898
angles (deg): 90.00 90.00 120.00
Sites, in units of the cell vectors:
Au  0.333  0.667  0.588
Au  0.667  0.333  0.088
Au  0.667  0.333  0.412
As  0.000  0.000  0.250
Au  0.333  0.667  0.912
As  0.000  0.000  0.750

Properties
Size of the total moment = 0.0000 μB/atom
Formation enthalpy at 0 K = 0.099 eV/atom

Entry from the Alexandria database: a geometry-optimized AsAu structure (PBEsol).

a b c (Å): 2.901 2.901 4.881
angles (deg): 90.00 90.00 120.00
Sites, in units of the cell vectors:
Au  0.333  0.667  0.500
As  0.000  0.000  0.000

Properties
Size of the total moment = 0.0001 μB/atom
Formation enthalpy at 0 K = 0.258 eV/atom

Entry from the Alexandria database: a geometry-optimized AsAu structure (PBEsol).

a b c (Å): 4.672 4.672 4.932
angles (deg): 61.73 61.73 60.00
Sites, in units of the cell vectors:
Au  0.888  0.888  0.335
Au  0.112  0.112  0.665
As  0.314  0.314  0.058
As  0.686  0.686  0.942

Properties
Size of the total moment = 0.0000 μB/atom
Formation enthalpy at 0 K = 0.260 eV/atom

Entry from the Alexandria database: a geometry-optimized AsAu structure (PBEsol).

a b c (Å): 2.807 5.609 7.484
angles (deg): 84.11 79.19 75.51
Sites, in units of the cell vectors:
As  0.420  0.469  0.692
As  0.325  0.009  0.342
As  0.632  0.010  0.726
Au  0.985  0.994  0.036
Au  0.070  0.504  0.356
Au  0.735  0.514  0.015

Properties
Size of the total moment = 0.0000 μB/atom
Formation enthalpy at 0 K = 0.149 eV/atom

Entry from the Alexandria database: a geometry-optimized As3Au structure (PBEsol).

a b c (Å): 2.876 4.351 5.922
angles (deg): 90.00 90.00 90.00
Sites, in units of the cell vectors:
Au  0.000  0.000  0.000
As  0.500  0.500  0.223
As  0.000  0.000  0.500
As  0.500  0.500  0.777

Properties
Size of the total moment = 0.0000 μB/atom
Formation enthalpy at 0 K = 0.368 eV/atom
E above lowest polymorph = 58 meV/atom

Entry from the Alexandria database: a geometry-optimized AsAu structure (PBEsol).

a b c (Å): 3.291 3.291 3.291
angles (deg): 90.00 90.00 90.00
Sites, in units of the cell vectors:
As  0.000  0.000  0.000
Au  0.500  0.500  0.500

Properties
Size of the total moment = 0.0001 μB/atom
Formation enthalpy at 0 K = 0.270 eV/atom

Entry from the Alexandria database: a geometry-optimized AsAu2 structure (PBEsol).

a b c (Å): 2.802 4.761 4.761
angles (deg): 120.00 90.00 90.00
Sites, in units of the cell vectors:
Au  0.000  0.333  0.667
As  0.000  0.000  0.000
Au  0.000  0.667  0.333

Properties
Size of the total moment = 0.0000 μB/atom
Formation enthalpy at 0 K = 0.122 eV/atom

Entry from the Alexandria database: a geometry-optimized BSbAsAu2 structure (PBEsol).

a b c (Å): 4.296 5.159 5.159
angles (deg): 90.00 90.00 90.00
Sites, in units of the cell vectors:
Sb  0.000  0.000  0.000
Au  0.000  0.000  0.500
B  0.500  0.000  0.000
As  0.500  0.500  0.500
Au  0.000  0.500  0.000

Properties
Size of the total moment = 0.0003 μB/atom

Entry from the Alexandria database: a geometry-optimized BaAs2Au structure (PBEsol).

a b c (Å): 4.607 4.607 5.540
angles (deg): 114.57 114.57 90.00
Sites, in units of the cell vectors:
Ba  0.250  0.750  0.500
As  0.000  0.000  0.000
As  0.750  0.250  0.500
Au  0.500  0.500  0.000

Properties
Size of the total moment = 0.0000 μB/atom
Formation enthalpy at 0 K = -0.142 eV/atom

no.,uncorrected energy (eV/atom),density (g/cm³)
1,-5.839,4.20
2,-6.232,4.48
3,-7.730,5.71
4,-8.637,6.55
5,-5.089,3.63
6,-5.583,4.08
7,-6.203,4.55
8,-5.815,4.24
9,-6.300,4.64
10,-4.888,3.46
11,-7.525,5.97
12,-5.106,5.96
13,-5.061,5.73
14,-4.400,11.90
15,-4.500,9.62
16,-4.292,11.93
17,-4.306,12.62
18,-4.385,7.89
19,-3.990,17.55
20,-4.220,13.65
21,-4.257,12.69
22,-4.255,11.57
23,-4.366,12.11
24,-4.443,9.45
25,-4.245,12.67
26,-4.196,14.15
27,-3.540,8.74
28,-4.214,8.45